Sr2BeSnRh | SCAN | PBEsol geometry

Unit cell a=6.114 b=6.114 c=4.810 alpha=90.00 beta=90.00 gamma=90.00
Element x y z (fractional)
1 Sr 0.000 0.500 0.000
2 Sr 0.500 0.000 0.000
3 Be 0.000 0.000 0.500
4 Sn 0.500 0.500 0.000
5 Rh 0.500 0.500 0.500

Formation energy   0.529 eV per atom
Volume   35.967 Å³ per atom

Sr2BeRh | SCAN | PBEsol geometry

Unit cell a=5.336 b=5.336 c=5.336 alpha=129.73 beta=129.73 gamma=73.84
Element x y z (fractional)
1 Sr 0.000 0.000 0.000
2 Sr 0.750 0.250 0.500
3 Be 0.500 0.500 0.000
4 Rh 0.250 0.750 0.500

Formation energy   0.371 eV per atom
Volume   21.910 Å³ per atom

SrBe2Rh | SCAN | PBEsol geometry

Unit cell a=5.877 b=5.877 c=5.877 alpha=38.46 beta=38.46 gamma=38.46
Element x y z (fractional)
1 Sr 0.000 0.000 0.000
2 Be 0.499 0.499 0.499
3 Be 0.818 0.818 0.818
4 Rh 0.190 0.190 0.190

Formation energy   -0.346 eV per atom
Volume   17.636 Å³ per atom
Relative energy among the computed polymorphs   0.00 eV per formula unit

Which M_tot belongs to each record? In order, 0.0, 0.0, 0.0 μB per formula unit.